Entry 1:
Here is crystalline SrLiSb2 at its relaxed geometry from the Alexandria database. Energies are from PBE.

The structure belongs to space group P4/mmm (No. 123); the cell edges are 3.5215, 3.5215 and 8.8943 Å and the angles 90.00°, 90.00° and 90.00°. The distinct sites, in fractional coordinates, are Sr at (0.0000, 0.0000, 0.0000), Li at (0.0000, 0.0000, 0.5000) and Sb at (0.5000, 0.5000, 0.2735).

Its formation energy from raw total energies is -0.54 eV per atom. The density is 5.1 g/cm³.

Entry 2:
Here is crystalline RbCd2PRh at its relaxed geometry from the Alexandria database. Energies are from PBE.

The structure belongs to space group P4/mmm (No. 123); the cell edges are 5.3433, 5.3433 and 4.5577 Å and the angles 90.00°, 90.00° and 90.00°. The distinct sites, in fractional coordinates, are Rb at (0.0000, 0.0000, 0.0000), Cd at (0.0000, 0.5000, 0.5000), P at (0.5000, 0.5000, 0.0000) and Rh at (0.5000, 0.5000, 0.5000).

The energy relative to the elements comes out at -116 meV/atom. The density is 5.7 g/cm³.

Entry 3:
Here is crystalline InHgB at its relaxed geometry from the Alexandria database. Energies are from PBE.

The structure belongs to space group Pnma (No. 62); the cell edges are 12.0756, 3.3161 and 6.0145 Å and the angles 90.00°, 90.00° and 90.00°. The distinct sites, in fractional coordinates, are In at (0.1853, 0.2500, 0.1750), Hg at (0.0463, 0.2500, 0.6966) and B at (0.1539, 0.7500, 0.8896).

The energy relative to the elements comes out at 810 meV/atom. The density is 9.0 g/cm³.

Entry 4:
Here is crystalline KMnSb2 at its relaxed geometry from the Alexandria database. Energies are from PBE.

The structure belongs to space group F-43m (No. 216); the cell edges are 7.6049, 7.6049 and 7.6049 Å and the angles 90.00°, 90.00° and 90.00°. The distinct sites, in fractional coordinates, are K at (0.0000, 0.0000, 0.0000), Mn at (0.2500, 0.2500, 0.2500), Sb at (0.0000, 0.0000, 0.5000) and Sb at (0.2500, 0.2500, 0.7500).

Its formation energy from raw total energies is 0.43 eV per atom. The density is 5.1 g/cm³.

Entry 5:
Here is crystalline Cs2InRuBr6 at its relaxed geometry from the Alexandria database. Energies are from PBE.

The structure belongs to space group Fm-3m (No. 225); the cell edges are 11.2501, 11.2501 and 11.2501 Å and the angles 90.00°, 90.00° and 90.00°. The distinct sites, in fractional coordinates, are Cs at (0.2500, 0.2500, 0.2500), In at (0.0000, 0.0000, 0.0000), Ru at (0.0000, 0.0000, 0.5000) and Br at (0.0000, 0.0000, 0.2731).

Its formation energy from raw total energies is -0.96 eV per atom. The density is 4.5 g/cm³.

Entry 6:
Here is crystalline Er3In4Ag2 at its relaxed geometry from the Alexandria database. Energies are from PBE.

The structure belongs to space group C2/m (No. 12); the cell edges are 10.9786, 4.8694 and 9.1533 Å and the angles 90.00°, 118.20° and 90.00°. The distinct sites, in fractional coordinates, are Er at (0.0000, 0.0000, 0.0000), Er at (0.1681, 0.5000, 0.6591), In at (0.0465, 0.0000, 0.3757), In at (0.2350, 0.5000, 0.0767) and Ag at (0.1070, 0.5000, 0.2768).

The energy relative to the elements comes out at -397 meV/atom. The density is 9.1 g/cm³.

Entry 7:
Here is crystalline ZnHg2Br at its relaxed geometry from the Alexandria database. Energies are from PBE.

The structure belongs to space group I4/mmm (No. 139); the cell edges are 4.1940, 4.1940 and 12.6063 Å and the angles 90.00°, 90.00° and 90.00°. The distinct sites, in fractional coordinates, are Zn at (0.0000, 0.0000, 0.0000), Hg at (0.0000, 0.5000, 0.2500) and Br at (0.0000, 0.0000, 0.5000).

Its formation energy from raw total energies is -0.02 eV per atom. The density is 8.2 g/cm³.

Entry 8:
Here is crystalline BiPd2O4 at its relaxed geometry from the Alexandria database. Energies are from PBE.

The structure belongs to space group P-1 (No. 2); the cell edges are 5.7707, 6.1907 and 6.5267 Å and the angles 114.90°, 95.74° and 111.77°. The distinct sites, in fractional coordinates, are Bi at (0.1401, 0.2611, 0.3515), Pd at (0.0000, 0.5000, 0.0000), Pd at (0.5000, 0.0000, 0.0000), Pd at (0.5000, 0.0000, 0.5000), Pd at (0.5000, 0.5000, 0.0000), O at (0.1224, 0.8543, 0.0121), O at (0.1586, 0.6410, 0.3553), O at (0.3565, 0.1040, 0.7724) and O at (0.4804, 0.6245, 0.7526).

Its formation energy from raw total energies is -0.74 eV per atom. The density is 8.6 g/cm³.

Entry 9:
Here is crystalline Ac2ZnSnPb at its relaxed geometry from the Alexandria database. Energies are from PBE.

The structure belongs to space group P2_1/m (No. 11); the cell edges are 8.4245, 4.6978 and 8.6090 Å and the angles 90.00°, 90.02° and 90.00°. The distinct sites, in fractional coordinates, are Ac at (0.2432, 0.2500, 0.0049), Ac at (0.2436, 0.2500, 0.4950), Zn at (0.4090, 0.7500, 0.7505), Sn at (0.4194, 0.7500, 0.2497) and Pb at (0.0801, 0.7500, 0.7498).

The energy relative to the elements comes out at -499 meV/atom. The density is 8.2 g/cm³.

Entry 10:
Here is crystalline Cu3Ni2Rh at its relaxed geometry from the Alexandria database. Energies are from PBE.

The structure belongs to space group P2_1/m (No. 11); the cell edges are 6.1130, 2.5677 and 9.4627 Å and the angles 90.00°, 100.80° and 90.00°. The distinct sites, in fractional coordinates, are Cu at (0.0443, 0.2500, 0.3941), Cu at (0.3315, 0.7500, 0.2900), Cu at (0.3412, 0.7500, 0.0330), Ni at (0.0332, 0.2500, 0.1183), Ni at (0.3589, 0.7500, 0.5581) and Rh at (0.2734, 0.2500, 0.7808).

The energy relative to the elements comes out at 78 meV/atom. The density is 9.4 g/cm³.

Entry 11:
Here is crystalline K3AsI2F6 at its relaxed geometry from the Alexandria database. Energies are from PBE.

The structure belongs to space group C2/m (No. 12); the cell edges are 16.4630, 7.8977 and 5.4202 Å and the angles 90.00°, 91.82° and 90.00°. The distinct sites, in fractional coordinates, are K at (0.0000, 0.0000, 0.0000), K at (0.2500, 0.2500, 0.5000), As at (0.0000, 0.5000, 0.5000), I at (0.1996, 0.0000, 0.9950), F at (0.0045, 0.3395, 0.7287) and F at (0.1089, 0.5000, 0.4910).

Its formation energy from raw total energies is -2.05 eV per atom. The density is 2.6 g/cm³.

Entry 12:
Here is crystalline Ca3TiPd12 at its relaxed geometry from the Alexandria database. Energies are from PBE.

The structure belongs to space group P4/mmm (No. 123); the cell edges are 4.0656, 4.0656 and 16.4184 Å and the angles 90.00°, 90.00° and 90.00°. The distinct sites, in fractional coordinates, are Ca at (0.0000, 0.0000, 0.0000), Ca at (0.0000, 0.0000, 0.2568), Ti at (0.0000, 0.0000, 0.5000), Pd at (0.0000, 0.5000, 0.1289), Pd at (0.0000, 0.5000, 0.3889), Pd at (0.5000, 0.5000, 0.0000), Pd at (0.5000, 0.5000, 0.2583) and Pd at (0.5000, 0.5000, 0.5000).

The energy relative to the elements comes out at -540 meV/atom. The density is 8.8 g/cm³.

Entry 13:
Here is crystalline Ca2Hg at its relaxed geometry from the Alexandria database. Energies are from PBE.

The structure belongs to space group Pnnm (No. 58); the cell edges are 7.3570, 7.5929 and 3.9578 Å and the angles 90.00°, 90.00° and 90.00°. The distinct sites, in fractional coordinates, are Ca at (0.2188, 0.1581, 0.0000) and Hg at (0.0000, 0.5000, 0.0000).

The energy relative to the elements comes out at -266 meV/atom. The density is 4.2 g/cm³.

Entry 14:
Here is crystalline Na3GaRu at its relaxed geometry from the Alexandria database. Energies are from PBE.

The structure belongs to space group Pm-3m (No. 221); the cell edges are 5.4149, 5.4149 and 5.4149 Å and the angles 90.00°, 90.00° and 90.00°. The distinct sites, in fractional coordinates, are Na at (0.0000, 0.0000, 0.5000), Ga at (0.5000, 0.5000, 0.5000) and Ru at (0.0000, 0.0000, 0.0000).

The energy relative to the elements comes out at 1052 meV/atom. The density is 2.5 g/cm³.

Entry 15:
Here is crystalline YRe2Si at its relaxed geometry from the Alexandria database. Energies are from PBE.

The structure belongs to space group C2/m (No. 12); the cell edges are 9.1279, 3.2127 and 5.0203 Å and the angles 90.00°, 105.32° and 90.00°. The distinct sites, in fractional coordinates, are Y at (0.0000, 0.0000, 0.0000), Re at (0.2263, 0.0000, 0.6802) and Si at (0.0000, 0.5000, 0.5000).

Its formation energy from raw total energies is 0.09 eV per atom. The density is 11.4 g/cm³.

Entry 16:
Here is crystalline Ca6Ga2Ag at its relaxed geometry from the Alexandria database. Energies are from PBE.

The structure belongs to space group Immm (No. 71); the cell edges are 9.9630, 10.1202 and 11.1854 Å and the angles 90.00°, 90.00° and 90.00°. The distinct sites, in fractional coordinates, are Ca at (0.0000, 0.1993, 0.2437), Ca at (0.1943, 0.5000, 0.1692), Ca at (0.2279, 0.3184, 0.5000), Ga at (0.0000, 0.3496, 0.0000), Ga at (0.0000, 0.5000, 0.3847), Ag at (0.0000, 0.0000, 0.0000) and Ag at (0.0000, 0.0000, 0.5000).

The energy relative to the elements comes out at -267 meV/atom. The density is 2.9 g/cm³.

Entry 17:
Here is crystalline Er3TmIn at its relaxed geometry from the Alexandria database. Energies are from PBE.

The structure belongs to space group C2/m (No. 12); the cell edges are 16.5002, 5.1393 and 6.7966 Å and the angles 90.00°, 90.28° and 90.00°. The distinct sites, in fractional coordinates, are Er at (0.0048, 0.0000, 0.2505), Er at (0.1090, 0.5000, 0.9952), Er at (0.2031, 0.0000, 0.7497), Tm at (0.1093, 0.5000, 0.5030) and In at (0.1974, 0.0000, 0.2505).

The energy relative to the elements comes out at -183 meV/atom. The density is 9.1 g/cm³.

Entry 18:
Here is crystalline ZrTc2Br at its relaxed geometry from the Alexandria database. Energies are from PBE.

The structure belongs to space group C2/m (No. 12); the cell edges are 10.1635, 4.5446 and 3.0672 Å and the angles 90.00°, 107.37° and 90.00°. The distinct sites, in fractional coordinates, are Zr at (0.0000, 0.0000, 0.0000), Tc at (0.2296, 0.5000, 0.2267) and Br at (0.0000, 0.5000, 0.5000).

Its formation energy from raw total energies is 0.32 eV per atom. The density is 9.0 g/cm³.

Entry 19:
Here is crystalline Nb4Tl2O7 at its relaxed geometry from the Alexandria database. Energies are from PBE.

The structure belongs to space group P-31m (No. 162); the cell edges are 5.2688, 5.2688 and 8.2889 Å and the angles 90.00°, 90.00° and 120.00°. The distinct sites, in fractional coordinates, are Nb at (0.0000, 0.0000, 0.2395), Nb at (0.3333, 0.6667, 0.5000), Tl at (0.3333, 0.6667, 0.0000), O at (0.0000, 0.0000, 0.0000) and O at (0.0000, 0.3287, 0.3484).

Its formation energy from raw total energies is -1.66 eV per atom. The density is 7.4 g/cm³.

Entry 20:
Here is crystalline PmMnGe2Ir at its relaxed geometry from the Alexandria database. Energies are from PBE.

The structure belongs to space group I-4m2 (No. 119); the cell edges are 4.1013, 4.1013 and 10.7665 Å and the angles 90.00°, 90.00° and 90.00°. The distinct sites, in fractional coordinates, are Pm at (0.0000, 0.0000, 0.0000), Mn at (0.0000, 0.5000, 0.2500), Ge at (0.0000, 0.0000, 0.3815) and Ir at (0.0000, 0.5000, 0.7500).

The energy relative to the elements comes out at -636 meV/atom. The density is 9.9 g/cm³.